{"formula": "Ac2NpTlO8", "functional": "PBE-GGA", "state": "relaxed", "lattice": [[-1.6122, 1.7750, 3.5973], [3.4486, -3.6687, 2.4474], [5.9795, 5.5704, -0.0699]], "species": ["O", "O", "O", "O", "O", "O", "O", "O", "Np", "Ac", "Ac", "Tl"], "fractional_positions": [[0.5870, 0.7828, 0.0000], [0.9367, 0.2278, 0.8058], [0.0632, 0.7725, 0.8056], [0.4130, 0.2172, 0.0000], [0.3677, 0.2573, 0.5001], [0.9368, 0.2275, 0.1944], [0.6323, 0.7427, 0.4999], [0.0633, 0.7722, 0.1942], [0.0000, 0.0000, 0.0000], [0.5001, 0.4999, 0.2408], [0.4999, 0.5001, 0.7592], [0.0000, 0.0000, 0.5000]], "space_group": "P2/m, No. 10", "rho_g_cm3": 8.67, "e_form_raw_mev_per_atom": -2549.4, "crystal_system": "monoclinic"}